Record 1
VASP calculation (GGA-PBE) on a geometry-optimized KRe2Ir structure.

- size of the total moment (μB/cell) = 0.3
- ΔE to the lowest computed polymorph (eV per atom) = 0.824
- V (Å³/cell) = 68.1
- space group = Pmmm

a = 2.7978 Å, b = 4.8501 Å, c = 5.0184 Å
α = 90.00°, β = 90.00°, γ = 90.00°
Positions (direct):
Ir: 0.5000 0.0000 0.5000
K: 0.0000 0.5000 0.5000
Re: 0.0000 0.0000 0.0000
Re: 0.5000 0.5000 0.0000



Record 2
VASP calculation (GGA-PBE) on a geometry-optimized KRe2Ir structure.

- size of the total moment (μB/cell) = 0.0
- ΔE to the lowest computed polymorph (eV per atom) = 1.014
- V (Å³/cell) = 162.8
- space group = I-42d

a = 7.7124 Å, b = 7.7124 Å, c = 6.1015 Å
α = 50.80°, β = 50.80°, γ = 90.00°
Positions (direct):
Re: 0.6908 0.1250 0.2500
Ir: 0.0000 0.0000 0.0000
Re: 0.8750 0.9408 0.7500
Ir: 0.7500 0.2500 0.5000
Re: 0.3750 0.3092 0.7500
K: 0.5000 0.5000 0.0000
K: 0.2500 0.7500 0.5000
Re: 0.0592 0.6250 0.2500



Record 3
VASP calculation (GGA-PBE) on a geometry-optimized KTi2ReIr structure.

- size of the total moment (μB/cell) = 0.0
- V (Å³/cell) = 83.9
- raw total energy (eV per atom) = -5.24
- space group = P4/mmm

a = 4.3325 Å, b = 4.4689 Å, c = 4.3325 Å
α = 90.00°, β = 90.00°, γ = 90.00°
Positions (direct):
Ti: 0.0000 0.0000 0.5000
Re: 0.0000 0.5000 0.0000
K: 0.0000 0.0000 0.0000
Ir: 0.5000 0.5000 0.5000
Ti: 0.5000 0.0000 0.0000



Record 4
VASP calculation (GGA-PBE) on a geometry-optimized K2YReIr structure.

- size of the total moment (μB/cell) = 0.9
- V (Å³/cell) = 161.2
- raw total energy (eV per atom) = -4.58
- space group = P4/mmm

a = 5.8059 Å, b = 4.7826 Å, c = 5.8059 Å
α = 90.00°, β = 90.00°, γ = 90.00°
Positions (direct):
Ir: 0.0000 0.0000 0.0000
K: 0.0000 0.0000 0.5000
Y: 0.5000 0.5000 0.5000
Re: 0.0000 0.5000 0.0000
K: 0.5000 0.0000 0.0000



Record 5
VASP calculation (GGA-PBE) on a geometry-optimized KIrRh2 structure.

- size of the total moment (μB/cell) = 0.0
- ΔE to the lowest computed polymorph (eV per atom) = 0.085
- V (Å³/cell) = 80.4
- space group = C2/m

a = 4.6001 Å, b = 4.6001 Å, c = 6.6999 Å
α = 85.02°, β = 85.02°, γ = 34.71°
Positions (direct):
K: 0.2500 0.2500 0.2500
Ir: 0.7500 0.7500 0.7500
Rh: 0.4854 0.4854 0.5882
Rh: 0.0146 0.0146 0.9118



Record 6
VASP calculation (GGA-PBE) on a geometry-optimized KIr3Rh structure.

- size of the total moment (μB/cell) = 4.2
- ΔE to the lowest computed polymorph (eV per atom) = 1.679
- V (Å³/cell) = 99.5
- space group = Pm-3m

a = 4.6339 Å, b = 4.6339 Å, c = 4.6339 Å
α = 90.00°, β = 90.00°, γ = 90.00°
Positions (direct):
Ir: 0.0000 0.5000 0.0000
K: 0.0000 0.0000 0.0000
Ir: 0.5000 0.0000 0.0000
Rh: 0.5000 0.5000 0.5000
Ir: 0.0000 0.0000 0.5000



Record 7
VASP calculation (GGA-PBE) on a geometry-optimized KIrRh2 structure.

- size of the total moment (μB/cell) = 0.0
- ΔE to the lowest computed polymorph (eV per atom) = 0.254
- V (Å³/cell) = 70.0
- space group = Imm2

a = 5.9084 Å, b = 5.9084 Å, c = 5.9084 Å
α = 153.15°, β = 130.91°, γ = 56.83°
Positions (direct):
Ir: 0.4674 0.4674 0.0000
Rh: 0.2529 0.7529 0.5000
Rh: 0.0295 0.0295 0.0000
K: 0.7501 0.2501 0.5000



Record 8
VASP calculation (GGA-PBE) on a geometry-optimized KIrRh2 structure.

- size of the total moment (μB/cell) = 0.0
- ΔE to the lowest computed polymorph (eV per atom) = 0.332
- V (Å³/cell) = 66.3
- space group = Cmmm

a = 6.4786 Å, b = 5.1023 Å, c = 2.7002 Å
α = 89.96°, β = 65.43°, γ = 121.66°
Positions (direct):
Rh: 0.5000 0.0000 0.5000
Rh: 0.0000 0.0000 0.0000
Ir: 0.0000 0.5000 0.5000
K: 0.5000 0.5000 0.0000



Record 9
VASP calculation (GGA-PBE) on a geometry-optimized KIrRh2 structure.

- size of the total moment (μB/cell) = 0.5
- ΔE to the lowest computed polymorph (eV per atom) = 0.410
- V (Å³/cell) = 66.9
- space group = P4/mmm

a = 4.9119 Å, b = 4.9119 Å, c = 2.7737 Å
α = 90.00°, β = 90.00°, γ = 90.00°
Positions (direct):
Ir: 0.5000 0.0000 0.5000
Rh: 0.0000 0.0000 0.0000
Rh: 0.5000 0.5000 0.0000
K: 0.0000 0.5000 0.5000



Record 10
VASP calculation (GGA-PBE) on a geometry-optimized KIrRh2 structure.

- size of the total moment (μB/cell) = 0.0
- ΔE to the lowest computed polymorph (eV per atom) = 0.000
- V (Å³/cell) = 71.8
- space group = P4/mmm

a = 2.8236 Å, b = 2.8236 Å, c = 9.0059 Å
α = 90.00°, β = 90.00°, γ = 89.99°
Positions (direct):
Rh: 0.0000 0.0000 0.0532
K: 0.5000 0.5000 0.7500
Rh: 0.0000 0.0000 0.4468
Ir: 0.5000 0.5000 0.2500



Record 11
VASP calculation (GGA-PBE) on a geometry-optimized KIrRh2 structure.

- size of the total moment (μB/cell) = 1.7
- ΔE to the lowest computed polymorph (eV per atom) = 0.543
- V (Å³/cell) = 69.2
- space group = Pmmm

a = 2.7080 Å, b = 5.1966 Å, c = 4.9163 Å
α = 90.00°, β = 90.00°, γ = 90.00°
Positions (direct):
Ir: 0.5000 0.0000 0.5000
Rh: 0.0000 0.0000 0.0000
K: 0.0000 0.5000 0.5000
Rh: 0.5000 0.5000 0.0000



Record 12
VASP calculation (GGA-PBE) on a geometry-optimized KIrRh2 structure.

- size of the total moment (μB/cell) = 0.0
- ΔE to the lowest computed polymorph (eV per atom) = 0.214
- V (Å³/cell) = 67.7
- space group = Cmm2

a = 2.7628 Å, b = 2.7628 Å, c = 10.1246 Å
α = 90.00°, β = 90.00°, γ = 118.84°
Positions (direct):
Rh: 0.5000 0.5000 0.2491
Ir: 0.0000 0.0000 0.4714
K: 0.5000 0.5000 0.7515
Rh: 0.0000 0.0000 0.0280